# 1
DFT (PBE-GGA) results for InReOs2 after structural relaxation.

Values from the calculation:
Density of states at the Fermi level   3.8 states/eV/cell
E_tot   -8.93 eV per atom
Total magnetic moment   0.00 μB per formula unit
Calculated formation energy   0.48 eV/atom

The structure in CIF format:
```
data_InReOs2
_cell_length_a 2.8241
_cell_length_b 3.9698
_cell_length_c 5.7173
_cell_angle_alpha 90.00
_cell_angle_beta 90.01
_cell_angle_gamma 90.00
_space_group_name_H-M_alt 'P 1 m 1'
_space_group_IT_number 6
loop_
_space_group_symop_operation_xyz
'x,y,z'
'x,-y,z'
loop_
_atom_site_label
_atom_site_type_symbol
_atom_site_fract_x
_atom_site_fract_y
_atom_site_fract_z
In1 In 0.0000 0.0000 0.0000
Re1 Re 0.5045 0.5000 0.7042
Os1 Os 0.4972 0.5000 0.2536
Os2 Os 0.9974 0.0000 0.5061
```

---

# 2
DFT (PBE-GGA) results for InReOs2 after structural relaxation.

Values from the calculation:
Density of states at the Fermi level   4.2 states/eV/cell
E_tot   -8.68 eV per atom
Total magnetic moment   0.00 μB per formula unit
Calculated formation energy   0.73 eV/atom

The structure in CIF format:
```
data_InReOs2
_cell_length_a 2.9436
_cell_length_b 4.5915
_cell_length_c 4.7086
_cell_angle_alpha 90.00
_cell_angle_beta 90.00
_cell_angle_gamma 90.00
_space_group_name_H-M_alt 'P m m m'
_space_group_IT_number 47
loop_
_space_group_symop_operation_xyz
'x,y,z'
'-x,-y,-z'
'-x,-y,z'
'x,y,-z'
'x,-y,-z'
'-x,y,z'
'-x,y,-z'
'x,-y,z'
loop_
_atom_site_label
_atom_site_type_symbol
_atom_site_fract_x
_atom_site_fract_y
_atom_site_fract_z
In1 In 0.0000 0.0000 0.0000
Re1 Re 0.5000 0.0000 0.5000
Os1 Os 0.0000 0.5000 0.5000
Os2 Os 0.5000 0.5000 0.0000
```

---

# 3
DFT (PBE-GGA) results for In2ReOs after structural relaxation.

Values from the calculation:
Density of states at the Fermi level   13.9 states/eV/cell
E_tot   -6.60 eV per atom
Total magnetic moment   0.00 μB per formula unit
Offset from the most stable computed form   0.4948 eV per atom
Calculated formation energy   0.69 eV/atom

The structure in CIF format:
```
data_In2ReOs
_cell_length_a 2.9805
_cell_length_b 2.9805
_cell_length_c 27.2482
_cell_angle_alpha 90.00
_cell_angle_beta 90.00
_cell_angle_gamma 120.00
_space_group_name_H-M_alt 'R -3 m'
_space_group_IT_number 166
_space_group_name_Hall '-R 3 2"'
loop_
_atom_site_label
_atom_site_type_symbol
_atom_site_fract_x
_atom_site_fract_y
_atom_site_fract_z
In1 In 0.0000 0.0000 0.2487
Re1 Re 0.0000 0.0000 0.0000
Os1 Os 0.0000 0.0000 0.5000
```